one | ScMnH2: optimized geometry, GGA-PBE.

Cell: 5.441 5.441 5.441 Å, 90.00 90.00 90.00°
Space group Fm-3m (No. 225)
One atom of each set of equivalent atoms:
Sc  0.000  0.000  0.000
Mn  0.000  0.000  0.500
H  0.250  0.250  0.250

## Properties
magnetic moment = 3.20 μB/f.u.



two | ScMnH2: optimized geometry, GGA-PBE.

Cell: 4.308 4.308 8.723 Å, 90.00 90.00 90.00°
Space group I-42d (No. 122)
One atom of each set of equivalent atoms:
Sc  0.000  0.000  0.000
Mn  0.000  0.000  0.500
H  0.190  0.250  0.625

## Properties
magnetic moment = 2.00 μB/f.u.



Which structure loses on stability? one does.



one | ScMn3H: optimized geometry, GGA-PBE.

Cell: 3.964 3.964 3.964 Å, 90.00 90.00 90.00°
Space group Pm-3m (No. 221)
One atom of each set of equivalent atoms:
Sc  0.000  0.000  0.000
Mn  0.000  0.500  0.500
H  0.500  0.500  0.500

## Properties
magnetic moment = 8.84 μB/f.u.



two | ScMn3H: optimized geometry, GGA-PBE.

Cell: 4.832 4.832 4.832 Å, 90.00 90.00 90.00°
Space group Pm-3m (No. 221)
One atom of each set of equivalent atoms:
Sc  0.000  0.000  0.000
Mn  0.000  0.000  0.500
H  0.500  0.500  0.500

## Properties
magnetic moment = 10.86 μB/f.u.



Which structure loses on stability? two does.